[1]
A plane-wave DFT calculation with GGA-PBE was carried out for an optimized crystal structure of KPrSnSe3.

Calculated values
relative energy among the computed polymorphs: 124.0 meV per atom
SG: Cmcm

a = 8.6452 Å, b = 8.6452 Å, c = 12.1600 Å
α = 90.00°, β = 90.00°, γ = 151.27°
Sites, in units of the cell vectors:
K  0.1690  0.8310  0.7500
K  0.8310  0.1690  0.2500
Pr  0.5000  0.5000  0.0000
Pr  0.5000  0.5000  0.5000
Sn  0.1164  0.8836  0.2500
Sn  0.8836  0.1164  0.7500
Se  0.1225  0.8775  0.0101
Se  0.1225  0.8775  0.4899
Se  0.4949  0.5051  0.7500
Se  0.5051  0.4949  0.2500
Se  0.8775  0.1225  0.5101
Se  0.8775  0.1225  0.9899


[2]
A plane-wave DFT calculation with GGA-PBE was carried out for an optimized crystal structure of KSrPrSe3.

Calculated values
E_tot: -0.163 hartree per atom
SG: Cmcm

a = 7.6110 Å, b = 7.6110 Å, c = 11.3501 Å
α = 90.00°, β = 90.00°, γ = 144.82°
Sites, in units of the cell vectors:
K  0.0223  0.9777  0.7500
K  0.9777  0.0223  0.2500
Sr  0.2413  0.7587  0.2500
Sr  0.7587  0.2413  0.7500
Pr  0.5000  0.5000  0.0000
Pr  0.5000  0.5000  0.5000
Se  0.1390  0.8610  0.5375
Se  0.1390  0.8610  0.9625
Se  0.3981  0.6019  0.7500
Se  0.6019  0.3981  0.2500
Se  0.8610  0.1390  0.0375
Se  0.8610  0.1390  0.4625


[3]
A plane-wave DFT calculation with GGA-PBE was carried out for an optimized crystal structure of KPrTlSe3.

Calculated values
E_tot: -0.154 hartree per atom
SG: Cmcm

a = 7.9303 Å, b = 7.9303 Å, c = 11.7259 Å
α = 90.00°, β = 90.00°, γ = 146.54°
Sites, in units of the cell vectors:
K  0.2453  0.7547  0.7500
K  0.7547  0.2453  0.2500
Pr  0.5000  0.5000  0.0000
Pr  0.5000  0.5000  0.5000
Tl  0.0404  0.9596  0.2500
Tl  0.9596  0.0404  0.7500
Se  0.1300  0.8700  0.0395
Se  0.1300  0.8700  0.4605
Se  0.4271  0.5729  0.2500
Se  0.5729  0.4271  0.7500
Se  0.8700  0.1300  0.5395
Se  0.8700  0.1300  0.9605


[4]
A plane-wave DFT calculation with GGA-PBE was carried out for an optimized crystal structure of KPrZnSe3.

Calculated values
E_tot: -0.158 hartree per atom
SG: P2_1/m

a = 8.6689 Å, b = 4.2393 Å, c = 10.5233 Å
α = 90.00°, β = 107.24°, γ = 90.00°
Sites, in units of the cell vectors:
K  0.2457  0.2500  0.2157
K  0.7543  0.7500  0.7843
Pr  0.1913  0.7500  0.6354
Pr  0.8087  0.2500  0.3646
Zn  0.4228  0.2500  0.8938
Zn  0.5772  0.7500  0.1062
Se  0.0428  0.7500  0.3476
Se  0.2877  0.7500  0.9498
Se  0.4406  0.2500  0.6671
Se  0.5594  0.7500  0.3329
Se  0.7123  0.2500  0.0502
Se  0.9572  0.2500  0.6524


[5]
A plane-wave DFT calculation with GGA-PBE was carried out for an optimized crystal structure of KPrZnSe3.

Calculated values
E_tot: -0.152 hartree per atom
SG: C2/m

a = 9.8478 Å, b = 9.8478 Å, c = 8.7034 Å
α = 102.63°, β = 102.63°, γ = 25.51°
Sites, in units of the cell vectors:
K  0.1330  0.1330  0.0722
K  0.8670  0.8670  0.9278
Pr  0.1684  0.1684  0.5761
Pr  0.8316  0.8316  0.4239
Zn  0.4684  0.4684  0.2627
Zn  0.5316  0.5316  0.7373
Se  0.0000  0.0000  0.5000
Se  0.3252  0.3252  0.6473
Se  0.3381  0.3381  0.1938
Se  0.5000  0.5000  0.0000
Se  0.6619  0.6619  0.8062
Se  0.6748  0.6748  0.3527


[6]
A plane-wave DFT calculation with GGA-PBE was carried out for an optimized crystal structure of KPrSi.

Calculated values
relative energy among the computed polymorphs: 0.0 meV per atom
SG: F-43m

a = 7.4283 Å, b = 7.4283 Å, c = 7.4283 Å
α = 90.00°, β = 90.00°, γ = 90.00°
Sites, in units of the cell vectors:
K  0.0000  0.0000  0.0000
K  0.0000  0.5000  0.5000
K  0.5000  0.0000  0.5000
K  0.5000  0.5000  0.0000
Pr  0.0000  0.0000  0.5000
Pr  0.0000  0.5000  0.0000
Pr  0.5000  0.0000  0.0000
Pr  0.5000  0.5000  0.5000
Si  0.2500  0.2500  0.2500
Si  0.2500  0.7500  0.7500
Si  0.7500  0.2500  0.7500
Si  0.7500  0.7500  0.2500


[7]
A plane-wave DFT calculation with GGA-PBE was carried out for an optimized crystal structure of KSrPr.

Calculated values
E_tot: -0.060 hartree per atom
SG: F-43m

a = 8.8212 Å, b = 8.8212 Å, c = 8.8212 Å
α = 90.00°, β = 90.00°, γ = 90.00°
Sites, in units of the cell vectors:
K  0.0000  0.0000  0.0000
K  0.0000  0.5000  0.5000
K  0.5000  0.0000  0.5000
K  0.5000  0.5000  0.0000
Sr  0.2500  0.2500  0.2500
Sr  0.2500  0.7500  0.7500
Sr  0.7500  0.2500  0.7500
Sr  0.7500  0.7500  0.2500
Pr  0.2500  0.2500  0.7500
Pr  0.2500  0.7500  0.2500
Pr  0.7500  0.2500  0.2500
Pr  0.7500  0.7500  0.7500


[8]
A plane-wave DFT calculation with GGA-PBE was carried out for an optimized crystal structure of KSrPrTe3.

Calculated values
E_tot: -0.147 hartree per atom
SG: Cmcm

a = 8.0743 Å, b = 8.0743 Å, c = 12.0006 Å
α = 90.00°, β = 90.00°, γ = 145.10°
Sites, in units of the cell vectors:
K  0.0187  0.9813  0.7500
K  0.9813  0.0187  0.2500
Sr  0.2527  0.7473  0.2500
Sr  0.7473  0.2527  0.7500
Pr  0.5000  0.5000  0.0000
Pr  0.5000  0.5000  0.5000
Te  0.1431  0.8569  0.5406
Te  0.1431  0.8569  0.9594
Te  0.3921  0.6079  0.7500
Te  0.6079  0.3921  0.2500
Te  0.8569  0.1431  0.0406
Te  0.8569  0.1431  0.4594


[9]
A plane-wave DFT calculation with GGA-PBE was carried out for an optimized crystal structure of KPrTa.

Calculated values
relative energy among the computed polymorphs: 0.0 meV per atom
SG: F-43m

a = 7.6935 Å, b = 7.6935 Å, c = 7.6935 Å
α = 90.00°, β = 90.00°, γ = 90.00°
Sites, in units of the cell vectors:
K  0.0000  0.0000  0.0000
K  0.0000  0.5000  0.5000
K  0.5000  0.0000  0.5000
K  0.5000  0.5000  0.0000
Pr  0.2500  0.2500  0.2500
Pr  0.2500  0.7500  0.7500
Pr  0.7500  0.2500  0.7500
Pr  0.7500  0.7500  0.2500
Ta  0.0000  0.0000  0.5000
Ta  0.0000  0.5000  0.0000
Ta  0.5000  0.0000  0.0000
Ta  0.5000  0.5000  0.5000


[10]
A plane-wave DFT calculation with GGA-PBE was carried out for an optimized crystal structure of KPrTc.

Calculated values
relative energy among the computed polymorphs: 0.0 meV per atom
SG: F-43m

a = 7.1004 Å, b = 7.1004 Å, c = 7.1004 Å
α = 90.00°, β = 90.00°, γ = 90.00°
Sites, in units of the cell vectors:
K  0.0000  0.0000  0.0000
K  0.0000  0.5000  0.5000
K  0.5000  0.0000  0.5000
K  0.5000  0.5000  0.0000
Pr  0.2500  0.2500  0.2500
Pr  0.2500  0.7500  0.7500
Pr  0.7500  0.2500  0.7500
Pr  0.7500  0.7500  0.2500
Tc  0.0000  0.0000  0.5000
Tc  0.0000  0.5000  0.0000
Tc  0.5000  0.0000  0.0000
Tc  0.5000  0.5000  0.5000


[11]
A plane-wave DFT calculation with GGA-PBE was carried out for an optimized crystal structure of KPrZnTe3.

Calculated values
relative energy among the computed polymorphs: 102.3 meV per atom
SG: Pnma

a = 9.3275 Å, b = 4.6723 Å, c = 18.0676 Å
α = 90.00°, β = 90.00°, γ = 90.00°
Sites, in units of the cell vectors:
K  0.0774  0.2500  0.2085
K  0.4226  0.7500  0.7085
K  0.5774  0.2500  0.2915
K  0.9226  0.7500  0.7915
Pr  0.2476  0.2500  0.9498
Pr  0.2524  0.7500  0.4498
Pr  0.7476  0.2500  0.5502
Pr  0.7524  0.7500  0.0502
Zn  0.1316  0.2500  0.6409
Zn  0.3684  0.7500  0.1409
Zn  0.6316  0.2500  0.8591
Zn  0.8684  0.7500  0.3591
Te  0.0066  0.7500  0.5858
Te  0.1296  0.7500  0.0532
Te  0.1929  0.2500  0.7826
Te  0.3071  0.7500  0.2826
Te  0.3704  0.2500  0.5532
Te  0.4934  0.2500  0.0858
Te  0.5066  0.7500  0.9142
Te  0.6296  0.7500  0.4468
Te  0.6929  0.2500  0.7174
Te  0.8071  0.7500  0.2174
Te  0.8704  0.2500  0.9468
Te  0.9934  0.2500  0.4142


[12]
A plane-wave DFT calculation with GGA-PBE was carried out for an optimized crystal structure of KPrZnTe3.

Calculated values
relative energy among the computed polymorphs: 161.3 meV per atom
SG: C2/m

a = 10.5762 Å, b = 10.5762 Å, c = 9.1936 Å
α = 102.16°, β = 102.16°, γ = 25.26°
Sites, in units of the cell vectors:
K  0.1289  0.1289  0.0658
K  0.8711  0.8711  0.9342
Pr  0.1692  0.1692  0.5718
Pr  0.8308  0.8308  0.4282
Zn  0.4630  0.4630  0.2669
Zn  0.5370  0.5370  0.7331
Te  0.0000  0.0000  0.5000
Te  0.3252  0.3252  0.6562
Te  0.3325  0.3325  0.1892
Te  0.5000  0.5000  0.0000
Te  0.6675  0.6675  0.8108
Te  0.6748  0.6748  0.3438


[13]
A plane-wave DFT calculation with GGA-PBE was carried out for an optimized crystal structure of KPrZnTe3.

Calculated values
relative energy among the computed polymorphs: 0.0 meV per atom
SG: Pnma

a = 12.0935 Å, b = 4.4877 Å, c = 15.7910 Å
α = 90.00°, β = 90.00°, γ = 90.00°
Sites, in units of the cell vectors:
K  0.2219  0.2500  0.0006
K  0.2781  0.7500  0.5006
K  0.7219  0.2500  0.4994
K  0.7781  0.7500  0.9994
Pr  0.0165  0.7500  0.7422
Pr  0.4835  0.2500  0.2422
Pr  0.5165  0.7500  0.7578
Pr  0.9835  0.2500  0.2578
Zn  0.2357  0.7500  0.2144
Zn  0.2643  0.2500  0.7144
Zn  0.7357  0.7500  0.2856
Zn  0.7643  0.2500  0.7856
Te  0.0500  0.7500  0.1227
Te  0.0899  0.2500  0.6106
Te  0.2370  0.2500  0.3200
Te  0.2630  0.7500  0.8200
Te  0.4101  0.7500  0.1106
Te  0.4500  0.2500  0.6227
Te  0.5500  0.7500  0.3773
Te  0.5899  0.2500  0.8894
Te  0.7370  0.2500  0.1800
Te  0.7630  0.7500  0.6800
Te  0.9101  0.7500  0.3894
Te  0.9500  0.2500  0.8773


[14]
A plane-wave DFT calculation with GGA-PBE was carried out for an optimized crystal structure of KPrZnTe3.

Calculated values
relative energy among the computed polymorphs: 18.2 meV per atom
SG: Pnma

a = 16.1815 Å, b = 4.4906 Å, c = 12.1140 Å
α = 90.00°, β = 90.00°, γ = 90.00°
Sites, in units of the cell vectors:
K  0.2331  0.2500  0.0345
K  0.2669  0.7500  0.5345
K  0.7331  0.2500  0.4655
K  0.7669  0.7500  0.9655
Pr  0.0238  0.2500  0.3441
Pr  0.4762  0.7500  0.8441
Pr  0.5238  0.2500  0.1559
Pr  0.9762  0.7500  0.6559
Zn  0.0163  0.7500  0.0993
Zn  0.4837  0.2500  0.5993
Zn  0.5163  0.7500  0.4007
Zn  0.9837  0.2500  0.9007
Te  0.0833  0.7500  0.8899
Te  0.1032  0.2500  0.5806
Te  0.1417  0.7500  0.2403
Te  0.3583  0.2500  0.7403
Te  0.3968  0.7500  0.0806
Te  0.4167  0.2500  0.3899
Te  0.5833  0.7500  0.6101
Te  0.6032  0.2500  0.9194
Te  0.6417  0.7500  0.2597
Te  0.8583  0.2500  0.7597
Te  0.8968  0.7500  0.4194
Te  0.9167  0.2500  0.1101


[15]
A plane-wave DFT calculation with GGA-PBE was carried out for an optimized crystal structure of KPrZnTe3.

Calculated values
relative energy among the computed polymorphs: 0.4 meV per atom
SG: Cmcm

a = 8.2249 Å, b = 8.2249 Å, c = 12.0561 Å
α = 90.00°, β = 90.00°, γ = 148.38°
Sites, in units of the cell vectors:
K  0.2496  0.7504  0.7500
K  0.7504  0.2496  0.2500
Pr  0.0000  0.0000  0.0000
Pr  0.0000  0.0000  0.5000
Zn  0.4638  0.5362  0.2500
Zn  0.5362  0.4638  0.7500
Te  0.0698  0.9302  0.2500
Te  0.3660  0.6340  0.0692
Te  0.3660  0.6340  0.4308
Te  0.6340  0.3660  0.5692
Te  0.6340  0.3660  0.9308
Te  0.9302  0.0698  0.7500


[16]
A plane-wave DFT calculation with GGA-PBE was carried out for an optimized crystal structure of KPrZnTe3.

Calculated values
relative energy among the computed polymorphs: 28.5 meV per atom
SG: Pnma

a = 12.7118 Å, b = 4.5999 Å, c = 13.6381 Å
α = 90.00°, β = 90.00°, γ = 90.00°
Sites, in units of the cell vectors:
K  0.1804  0.2500  0.0033
K  0.3196  0.7500  0.5033
K  0.6804  0.2500  0.4967
K  0.8196  0.7500  0.9967
Pr  0.0260  0.2500  0.3216
Pr  0.4740  0.7500  0.8216
Pr  0.5260  0.2500  0.1784
Pr  0.9740  0.7500  0.6784
Zn  0.2452  0.7500  0.2021
Zn  0.2548  0.2500  0.7021
Zn  0.7452  0.7500  0.2979
Zn  0.7548  0.2500  0.7979
Te  0.0436  0.7500  0.1572
Te  0.1048  0.2500  0.5618
Te  0.2158  0.7500  0.8049
Te  0.2842  0.2500  0.3049
Te  0.3952  0.7500  0.0618
Te  0.4564  0.2500  0.6572
Te  0.5436  0.7500  0.3428
Te  0.6048  0.2500  0.9382
Te  0.7158  0.7500  0.6951
Te  0.7842  0.2500  0.1951
Te  0.8952  0.7500  0.4382
Te  0.9564  0.2500  0.8428


[17]
A plane-wave DFT calculation with GGA-PBE was carried out for an optimized crystal structure of KPrZnTe3.

Calculated values
relative energy among the computed polymorphs: 17.6 meV per atom
SG: P2_1/m

a = 9.5122 Å, b = 4.4977 Å, c = 10.8202 Å
α = 90.00°, β = 106.97°, γ = 90.00°
Sites, in units of the cell vectors:
K  0.2333  0.2500  0.2690
K  0.7667  0.7500  0.7310
Pr  0.3138  0.7500  0.8636
Pr  0.6862  0.2500  0.1364
Zn  0.0799  0.2500  0.6107
Zn  0.9201  0.7500  0.3893
Te  0.0716  0.2500  0.8534
Te  0.2095  0.7500  0.5420
Te  0.4608  0.7500  0.1655
Te  0.5392  0.2500  0.8345
Te  0.7905  0.2500  0.4580
Te  0.9284  0.7500  0.1466


[18]
A plane-wave DFT calculation with GGA-PBE was carried out for an optimized crystal structure of KPrTl.

Calculated values
relative energy among the computed polymorphs: 0.0 meV per atom
SG: F-43m

a = 7.8828 Å, b = 7.8828 Å, c = 7.8828 Å
α = 90.00°, β = 90.00°, γ = 90.00°
Sites, in units of the cell vectors:
K  0.0000  0.0000  0.0000
K  0.0000  0.5000  0.5000
K  0.5000  0.0000  0.5000
K  0.5000  0.5000  0.0000
Pr  0.0000  0.0000  0.5000
Pr  0.0000  0.5000  0.0000
Pr  0.5000  0.0000  0.0000
Pr  0.5000  0.5000  0.5000
Tl  0.2500  0.2500  0.2500
Tl  0.2500  0.7500  0.7500
Tl  0.7500  0.2500  0.7500
Tl  0.7500  0.7500  0.2500


[19]
A plane-wave DFT calculation with GGA-PBE was carried out for an optimized crystal structure of KPrU.

Calculated values
relative energy among the computed polymorphs: 0.0 meV per atom
SG: F-43m

a = 8.1015 Å, b = 8.1015 Å, c = 8.1015 Å
α = 90.00°, β = 90.00°, γ = 90.00°
Sites, in units of the cell vectors:
K  0.0000  0.0000  0.0000
K  0.0000  0.5000  0.5000
K  0.5000  0.0000  0.5000
K  0.5000  0.5000  0.0000
Pr  0.2500  0.2500  0.2500
Pr  0.2500  0.7500  0.7500
Pr  0.7500  0.2500  0.7500
Pr  0.7500  0.7500  0.2500
U  0.0000  0.0000  0.5000
U  0.0000  0.5000  0.0000
U  0.5000  0.0000  0.0000
U  0.5000  0.5000  0.5000


[20]
A plane-wave DFT calculation with GGA-PBE was carried out for an optimized crystal structure of KPrW.

Calculated values
relative energy among the computed polymorphs: 0.0 meV per atom
SG: F-43m

a = 7.3912 Å, b = 7.3912 Å, c = 7.3912 Å
α = 90.00°, β = 90.00°, γ = 90.00°
Sites, in units of the cell vectors:
K  0.0000  0.0000  0.0000
K  0.0000  0.5000  0.5000
K  0.5000  0.0000  0.5000
K  0.5000  0.5000  0.0000
Pr  0.2500  0.2500  0.2500
Pr  0.2500  0.7500  0.7500
Pr  0.7500  0.2500  0.7500
Pr  0.7500  0.7500  0.2500
W  0.0000  0.0000  0.5000
W  0.0000  0.5000  0.0000
W  0.5000  0.0000  0.0000
W  0.5000  0.5000  0.5000


| no. | mass density (Mg/m³) | total magnetic moment (μB per cell) |
| --- | --- | --- |
| 1 | 4.072 | 0.0 |
| 2 | 4.423 | 0.0 |
| 3 | 5.075 | 0.0 |
| 4 | 4.337 | 0.0 |
| 5 | 4.521 | 0.0 |
| 6 | 3.372 | 0.0 |
| 7 | 2.590 | 8.0 |
| 8 | 4.825 | 0.0 |
| 9 | 5.265 | 17.4 |
| 10 | 5.158 | 4.3 |
| 11 | 5.299 | 0.0 |
| 12 | 4.870 | 0.0 |
| 13 | 4.869 | 0.0 |
| 14 | 4.740 | 0.0 |
| 15 | 4.880 | 0.0 |
| 16 | 5.233 | 0.0 |
| 17 | 4.712 | 0.0 |
| 18 | 5.212 | 0.0 |
| 19 | 5.222 | 21.7 |
| 20 | 5.985 | 13.6 |